1.
First-principles (GGA-PBE) data for a relaxed Ac2Be3ZnGe4 crystal, as listed in Alexandria via LeMat-Bulk.

Values from the calculation:
Its size of the total moment is 0.00 μB/f.u. The value obtained for the energy of formation from the pure elements is -0.347 eV per atom.

Cell: 4.3909 4.3909 9.7660 Å, 90.00 90.00 90.00°
Fractional coordinates of all 10 atoms:
1 Ac 0.5000 0.0000 0.2468
2 Ac 0.0000 0.5000 0.7532
3 Be 0.0000 0.0000 0.5000
4 Be 0.5000 0.0000 0.8819
5 Be 0.0000 0.5000 0.1181
6 Zn 0.5000 0.5000 0.5000
7 Ge 0.5000 0.5000 0.0000
8 Ge 0.0000 0.0000 0.0000
9 Ge 0.5000 0.0000 0.6366
10 Ge 0.0000 0.5000 0.3634

***

2.
First-principles (GGA-PBE) data for a relaxed Ac2BeZn3Ge4 crystal, as listed in Alexandria via LeMat-Bulk.

Values from the calculation:
Its size of the total moment is 0.00 μB/f.u. The value obtained for the energy of formation from the pure elements is -0.382 eV per atom.

Cell: 4.5497 4.5497 9.9272 Å, 90.00 90.00 90.00°
Fractional coordinates of all 10 atoms:
1 Ac 0.5000 0.0000 0.2546
2 Ac 0.0000 0.5000 0.7454
3 Be 0.5000 0.5000 0.5000
4 Zn 0.0000 0.0000 0.5000
5 Zn 0.5000 0.0000 0.8736
6 Zn 0.0000 0.5000 0.1264
7 Ge 0.5000 0.5000 0.0000
8 Ge 0.0000 0.0000 0.0000
9 Ge 0.5000 0.0000 0.6205
10 Ge 0.0000 0.5000 0.3795

***

3.
First-principles (GGA-PBE) data for a relaxed AcBe3H9 crystal, as listed in Alexandria via LeMat-Bulk.

Values from the calculation:
Its size of the total moment is 0.00 μB/f.u. The calculation puts the uncorrected energy at -3.681 eV per atom.

Cell: 6.5272 6.5272 6.9131 Å, 90.00 90.00 104.86°
Fractional coordinates of all 26 atoms:
1 Ac 0.6769 0.6769 0.0000
2 Ac 0.3231 0.3231 0.5000
3 Be 0.2025 0.8711 0.0671
4 Be 0.7975 0.1289 0.5671
5 Be 0.8711 0.2025 0.9329
6 Be 0.1289 0.7975 0.4329
7 Be 0.2665 0.2665 0.0000
8 Be 0.7335 0.7335 0.5000
9 H 0.2890 0.0628 0.9537
10 H 0.7110 0.9372 0.4537
11 H 0.0628 0.2890 0.0463
12 H 0.9372 0.7110 0.5463
13 H 0.3620 0.4061 0.8460
14 H 0.6380 0.5939 0.3460
15 H 0.4061 0.3620 0.1540
16 H 0.5939 0.6380 0.6540
17 H 0.2139 0.6244 0.4048
18 H 0.7861 0.3756 0.9048
19 H 0.6244 0.2139 0.5952
20 H 0.3756 0.7861 0.0952
21 H 0.2549 0.9527 0.5523
22 H 0.7451 0.0473 0.0523
23 H 0.9527 0.2549 0.4477
24 H 0.0473 0.7451 0.9477
25 H 0.0930 0.9070 0.2500
26 H 0.9070 0.0930 0.7500

***

4.
First-principles (GGA-PBE) data for a relaxed AcBe2H7 crystal, as listed in Alexandria via LeMat-Bulk.

Values from the calculation:
Its size of the total moment is 0.00 μB/f.u. The calculation puts the uncorrected energy at -3.617 eV per atom.

Cell: 3.5049 6.4104 6.4105 Å, 137.80 90.00 90.00°
Fractional coordinates of all 10 atoms:
1 Ac 0.0000 0.0000 0.0000
2 Be 0.5000 0.6182 0.3818
3 Be 0.5000 0.3818 0.6182
4 H 0.0000 0.6095 0.3905
5 H 0.0000 0.3905 0.6095
6 H 0.5000 0.0585 0.3404
7 H 0.5000 0.9415 0.6596
8 H 0.5000 0.3404 0.0585
9 H 0.5000 0.6596 0.9415
10 H 0.5000 0.5000 0.5000

***

5.
First-principles (GGA-PBE) data for a relaxed AcBeH5 crystal, as listed in Alexandria via LeMat-Bulk.

Values from the calculation:
Its size of the total moment is 0.00 μB/f.u. The calculation puts the uncorrected energy at -3.695 eV per atom.

Cell: 4.9388 5.1025 5.1025 Å, 51.71 61.06 61.06°
Fractional coordinates of all 7 atoms:
1 Ac 0.0000 0.7883 0.2117
2 Be 0.5000 0.4261 0.5739
3 H 0.7208 0.2676 0.2908
4 H 0.5000 0.7563 0.2437
5 H 0.2792 0.7092 0.7324
6 H 0.7649 0.2916 0.7084
7 H 0.2351 0.2916 0.7084

***

6.
First-principles (GGA-PBE) data for a relaxed Ac12Be3H5 crystal, as listed in Alexandria via LeMat-Bulk.

Values from the calculation:
Its size of the total moment is 0.00 μB/f.u. The calculation puts the uncorrected energy at -3.838 eV per atom.

Cell: 14.5026 14.5026 14.5026 Å, 109.47 109.47 109.47°
Fractional coordinates of all 80 atoms:
1 Be 0.7500 0.3750 0.1250
2 Be 0.8750 0.7500 0.1250
3 Be 0.3750 0.7500 0.6250
4 Be 0.2500 0.1250 0.3750
5 Be 0.8750 0.1250 0.2500
6 Be 0.3750 0.6250 0.2500
7 Be 0.6250 0.3750 0.7500
8 Be 0.1250 0.8750 0.7500
9 Be 0.7500 0.8750 0.6250
10 Be 0.6250 0.2500 0.3750
11 Be 0.1250 0.2500 0.8750
12 Be 0.2500 0.6250 0.8750
13 Ac 0.7153 0.1179 0.0266
14 Ac 0.3114 0.5266 0.4087
15 Ac 0.9734 0.3821 0.2847
16 Ac 0.5266 0.2153 0.1179
17 Ac 0.5973 0.7153 0.6886
18 Ac 0.9734 0.5913 0.1887
19 Ac 0.3114 0.7847 0.4027
20 Ac 0.0913 0.9027 0.1179
21 Ac 0.5913 0.9734 0.6886
22 Ac 0.7153 0.5973 0.1887
23 Ac 0.7847 0.4734 0.3821
24 Ac 0.8114 0.9087 0.0266
25 Ac 0.1179 0.7153 0.5266
26 Ac 0.3821 0.4087 0.0973
27 Ac 0.0973 0.9087 0.3821
28 Ac 0.4027 0.1179 0.5913
29 Ac 0.0973 0.1887 0.2153
30 Ac 0.4734 0.6886 0.0913
31 Ac 0.8114 0.9027 0.2847
32 Ac 0.1179 0.4027 0.0913
33 Ac 0.3821 0.9734 0.7847
34 Ac 0.5913 0.6179 0.4027
35 Ac 0.9087 0.8114 0.5266
36 Ac 0.7847 0.3114 0.9027
37 Ac 0.4087 0.3821 0.5973
38 Ac 0.0913 0.1887 0.4734
39 Ac 0.2153 0.6886 0.0973
40 Ac 0.1887 0.0973 0.7153
41 Ac 0.6179 0.0266 0.2153
42 Ac 0.8821 0.5973 0.9087
43 Ac 0.5266 0.3114 0.9087
44 Ac 0.5973 0.8821 0.4087
45 Ac 0.9027 0.8114 0.7847
46 Ac 0.9027 0.0913 0.6179
47 Ac 0.8821 0.2847 0.4734
48 Ac 0.1887 0.0913 0.9734
49 Ac 0.6179 0.5913 0.9027
50 Ac 0.4087 0.0266 0.3114
51 Ac 0.2847 0.4027 0.8114
52 Ac 0.2153 0.5266 0.6179
53 Ac 0.9087 0.0973 0.8821
54 Ac 0.6886 0.2153 0.5973
55 Ac 0.4734 0.7847 0.8821
56 Ac 0.0266 0.4087 0.8114
57 Ac 0.4027 0.2847 0.3114
58 Ac 0.0266 0.6179 0.7153
59 Ac 0.6886 0.4734 0.5913
60 Ac 0.2847 0.8821 0.9734
61 H 0.1250 0.3750 0.2500
62 H 0.0000 0.5000 0.0000
63 H 0.0000 0.0000 0.0000
64 H 0.3750 0.2500 0.1250
65 H 0.5000 0.0000 0.5000
66 H 0.5000 0.5000 0.0000
67 H 0.1250 0.7500 0.3750
68 H 0.7500 0.1250 0.8750
69 H 0.7500 0.6250 0.3750
70 H 0.3750 0.1250 0.7500
71 H 0.6250 0.8750 0.2500
72 H 0.5000 0.5000 0.5000
73 H 0.5000 0.0000 0.0000
74 H 0.0000 0.0000 0.5000
75 H 0.2500 0.3750 0.6250
76 H 0.2500 0.8750 0.1250
77 H 0.0000 0.5000 0.5000
78 H 0.8750 0.2500 0.6250
79 H 0.6250 0.7500 0.8750
80 H 0.8750 0.6250 0.7500

***

7.
First-principles (GGA-PBE) data for a relaxed AcBeH6 crystal, as listed in Alexandria via LeMat-Bulk.

Values from the calculation:
Its size of the total moment is 0.00 μB/f.u. The calculation puts the uncorrected energy at -3.640 eV per atom.

Cell: 4.0197 4.0197 4.6974 Å, 90.01 90.01 115.28°
Fractional coordinates of all 8 atoms:
1 Ac 0.5000 0.5000 0.5000
2 Be 0.0000 0.0000 0.0000
3 H 0.8444 0.1563 0.2508
4 H 0.1563 0.8444 0.2508
5 H 0.8437 0.1556 0.7492
6 H 0.1556 0.8437 0.7492
7 H 0.6475 0.6475 0.0000
8 H 0.3525 0.3525 0.0000

***

8.
First-principles (GGA-PBE) data for a relaxed AcBe2H8 crystal, as listed in Alexandria via LeMat-Bulk.

Values from the calculation:
Its size of the total moment is 0.00 μB/f.u. The calculation puts the uncorrected energy at -3.603 eV per atom.

Cell: 4.6255 4.5645 7.0099 Å, 120.45 90.00 120.44°
Fractional coordinates of all 11 atoms:
1 Ac 0.0000 0.0000 0.0000
2 Be 0.1434 0.2869 0.6829
3 Be 0.8566 0.7131 0.3171
4 H 0.5955 0.7049 0.1979
5 H 0.8906 0.2951 0.8021
6 H 0.1005 0.2010 0.4459
7 H 0.8995 0.7990 0.5541
8 H 0.1094 0.7049 0.1979
9 H 0.4045 0.2951 0.8021
10 H 0.3721 0.7442 0.7862
11 H 0.6279 0.2558 0.2138

***

9.
First-principles (GGA-PBE) data for a relaxed LiAcBe2H6 crystal, as listed in Alexandria via LeMat-Bulk.

Values from the calculation:
Its size of the total moment is 0.00 μB/f.u. The calculation puts the uncorrected energy at -3.640 eV per atom.

Cell: 4.5216 4.5216 5.9797 Å, 67.79 67.79 60.00°
Fractional coordinates of all 10 atoms:
1 Li 0.5000 0.5000 0.5000
2 Ac 0.0000 0.0000 0.0000
3 Be 0.7790 0.7790 0.6631
4 Be 0.2210 0.2210 0.3369
5 H 0.0735 0.5769 0.7727
6 H 0.5769 0.0735 0.7727
7 H 0.4231 0.4231 0.2273
8 H 0.9265 0.4231 0.2273
9 H 0.4231 0.9265 0.2273
10 H 0.5769 0.5769 0.7727

***

10.
First-principles (GGA-PBE) data for a relaxed AcMgBeH6 crystal, as listed in Alexandria via LeMat-Bulk.

Values from the calculation:
Its size of the total moment is 0.00 μB/f.u. The calculation puts the uncorrected energy at -3.479 eV per atom.

Cell: 4.6036 4.6036 4.8150 Å, 90.01 90.00 60.00°
Fractional coordinates of all 9 atoms:
1 Ac 0.0000 0.0000 0.0000
2 Mg 0.6666 0.6667 0.5000
3 Be 0.3333 0.3333 0.5000
4 H 0.0319 0.4839 0.2526
5 H 0.4838 0.0319 0.7474
6 H 0.4842 0.4837 0.7473
7 H 0.0321 0.4841 0.7472
8 H 0.4837 0.4843 0.2526
9 H 0.4841 0.0321 0.2528

***

11.
First-principles (GGA-PBE) data for a relaxed AcBe2HN2 crystal, as listed in Alexandria via LeMat-Bulk.

Values from the calculation:
Its size of the total moment is 0.00 μB/f.u. The calculation puts the uncorrected energy at -6.106 eV per atom.

Cell: 4.1985 5.8964 5.8966 Å, 106.16 90.00 90.00°
Fractional coordinates of all 12 atoms:
1 Ac 0.7500 0.3096 0.6904
2 Ac 0.2500 0.6904 0.3096
3 Be 0.5000 0.1768 0.1768
4 Be 0.0000 0.1768 0.1768
5 Be 0.0000 0.8232 0.8232
6 Be 0.5000 0.8232 0.8232
7 H 0.2500 0.0773 0.9227
8 H 0.7500 0.9227 0.0773
9 N 0.2500 0.1554 0.3729
10 N 0.2500 0.6271 0.8447
11 N 0.7500 0.8446 0.6271
12 N 0.7500 0.3729 0.1553

***

12.
First-principles (GGA-PBE) data for a relaxed NaAcBe2H8 crystal, as listed in Alexandria via LeMat-Bulk.

Values from the calculation:
Its size of the total moment is 0.00 μB/f.u. The calculation puts the uncorrected energy at -3.628 eV per atom.

Cell: 4.6241 4.6241 7.4308 Å, 90.00 90.00 120.00°
Fractional coordinates of all 12 atoms:
1 Na 0.0000 0.0000 0.5000
2 Ac 0.0000 0.0000 0.0000
3 Be 0.6667 0.3333 0.2283
4 Be 0.3333 0.6667 0.7717
5 H 0.3333 0.6667 0.9722
6 H 0.3490 0.2883 0.2727
7 H 0.7117 0.0607 0.2727
8 H 0.6667 0.3333 0.0278
9 H 0.2883 0.9393 0.7273
10 H 0.6510 0.7117 0.7273
11 H 0.0607 0.3490 0.7273
12 H 0.9393 0.6510 0.2727

***

13.
First-principles (GGA-PBE) data for a relaxed NaAcBe2H6 crystal, as listed in Alexandria via LeMat-Bulk.

Values from the calculation:
Its size of the total moment is 0.00 μB/f.u. The calculation puts the uncorrected energy at -3.454 eV per atom.

Cell: 4.6249 4.6249 7.4108 Å, 71.82 71.82 60.00°
Fractional coordinates of all 10 atoms:
1 Na 0.5000 0.5000 0.5000
2 Ac 0.0000 0.0000 0.0000
3 Be 0.7523 0.7523 0.7431
4 Be 0.2477 0.2477 0.2569
5 H 0.0392 0.4434 0.7131
6 H 0.8043 0.0392 0.7131
7 H 0.5566 0.1957 0.2869
8 H 0.9608 0.5566 0.2869
9 H 0.1957 0.9608 0.2869
10 H 0.4434 0.8043 0.7131

***

14.
First-principles (GGA-PBE) data for a relaxed AcBe2NiH8 crystal, as listed in Alexandria via LeMat-Bulk.

Values from the calculation:
Its size of the total moment is 1.00 μB/f.u. The calculation puts the uncorrected energy at -3.833 eV per atom.

Cell: 4.4225 4.4225 6.6011 Å, 70.43 70.43 60.00°
Last column: magnetic moment on the atom in μB.
Fractional coordinates of all 12 atoms:
1 Ac 0.5000 0.5000 0.5000  0.02
2 Be 0.2661 0.2661 0.2018  0.04
3 Be 0.7339 0.7339 0.7982  0.04
4 Ni 0.0000 0.0000 0.0000  0.75
5 H 0.1834 0.1834 0.4497  0.00
6 H 0.6164 0.2470 0.1703  0.01
7 H 0.8166 0.8166 0.5503  0.00
8 H 0.9663 0.6164 0.1703  0.01
9 H 0.0337 0.3836 0.8297  0.01
10 H 0.2470 0.9663 0.1703  0.01
11 H 0.7530 0.0337 0.8297  0.01
12 H 0.3836 0.7530 0.8297  0.01

***

15.
First-principles (GGA-PBE) data for a relaxed AcBeH2O4 crystal, as listed in Alexandria via LeMat-Bulk.

Values from the calculation:
Its size of the total moment is 1.00 μB/f.u. The calculation puts the uncorrected energy at -6.196 eV per atom.

Cell: 4.3566 4.8504 4.8504 Å, 73.52 63.31 63.31°
Last column: magnetic moment on the atom in μB.
Fractional coordinates of all 8 atoms:
1 Ac 0.0000 0.0000 0.0000  0.01
2 Be 0.5000 0.5000 0.5000  -0.01
3 H 0.1553 0.3447 0.3447  0.00
4 H 0.8447 0.6553 0.6553  0.00
5 O 0.3913 0.2269 0.4646  0.21
6 O 0.0829 0.7731 0.5354  0.21
7 O 0.9171 0.4646 0.2269  0.21
8 O 0.6087 0.5354 0.7731  0.21

***

16.
First-principles (GGA-PBE) data for a relaxed Ac2BeHPt6 crystal, as listed in Alexandria via LeMat-Bulk.

Values from the calculation:
Its size of the total moment is 0.00 μB/f.u. The calculation puts the uncorrected energy at -5.904 eV per atom.

Cell: 5.8992 6.8087 6.8093 Å, 51.51 64.41 90.11°
Fractional coordinates of all 10 atoms:
1 Ac 0.7744 0.2262 0.4507
2 Ac 0.2256 0.7738 0.5493
3 Be 0.5000 0.5000 0.0000
4 H 0.0000 0.0000 0.0000
5 Pt 0.2382 0.2805 0.5232
6 Pt 0.7226 0.7636 0.0397
7 Pt 0.2377 0.7631 0.0401
8 Pt 0.7623 0.2369 0.9599
9 Pt 0.2774 0.2364 0.9604
10 Pt 0.7618 0.7195 0.4768

***

17.
First-principles (GGA-PBE) data for a relaxed AcBe2H8Rh crystal, as listed in Alexandria via LeMat-Bulk.

Values from the calculation:
Its size of the total moment is 0.00 μB/f.u. The calculation puts the uncorrected energy at -3.974 eV per atom.

Cell: 4.0893 4.0893 6.9785 Å, 81.79 81.79 68.77°
Fractional coordinates of all 12 atoms:
1 Ac 0.0000 0.0000 0.5000
2 Be 0.6200 0.6200 0.1706
3 Be 0.3800 0.3800 0.8294
4 H 0.7796 0.2947 0.8121
5 H 0.7586 0.7586 0.9800
6 H 0.6590 0.6590 0.3793
7 H 0.3410 0.3410 0.6207
8 H 0.2414 0.2414 0.0200
9 H 0.2947 0.7796 0.8121
10 H 0.7053 0.2204 0.1879
11 H 0.2204 0.7053 0.1879
12 Rh 0.0000 0.0000 0.0000

***

18.
First-principles (GGA-PBE) data for a relaxed AcBeH8Rh2 crystal, as listed in Alexandria via LeMat-Bulk.

Values from the calculation:
Its size of the total moment is 0.00 μB/f.u. The calculation puts the uncorrected energy at -4.215 eV per atom.

Cell: 4.7468 4.7468 6.3415 Å, 89.97 89.97 57.54°
Fractional coordinates of all 12 atoms:
1 Ac 0.0000 0.0000 0.5000
2 Be 0.0000 0.0000 0.0000
3 H 0.7267 0.2007 0.8307
4 H 0.8568 0.8568 0.1587
5 H 0.6769 0.6769 0.3802
6 H 0.3231 0.3231 0.6198
7 H 0.1432 0.1432 0.8413
8 H 0.2007 0.7267 0.8307
9 H 0.7993 0.2733 0.1693
10 H 0.2733 0.7993 0.1693
11 Rh 0.6635 0.6635 0.1183
12 Rh 0.3365 0.3365 0.8817